1.
This record from the Alexandria database describes a geometry-optimized Ba4Au2O structure. The functional is PBE.

Geometry as POSCAR:
```
Ba4Au2O
1.0
-2.834 4.523 -0.094
-3.795 -2.437 -2.856
-7.283 -1.293 5.790
Au Ba O
2 4 1
Direct
0.370 0.370 0.261
0.630 0.630 0.739
0.177 0.177 0.646
0.823 0.823 0.354
0.000 0.500 0.000
0.500 0.000 0.000
0.000 0.000 0.000
```

Values from the calculation:
Energy above the lowest structure with this stoichiometry, meV per atom: 34.2
Total moment, μB per atom: 0.000
ΔE_f (raw), eV per formula unit: -7.6
Total DFT energy (no corrections), eV per cell: -26.76


2.
This record from the Alexandria database describes a geometry-optimized Pa2As2AuSe2 structure. The functional is PBE.

Geometry as POSCAR:
```
Pa2As2AuSe2
1.0
-3.252 3.117 0.165
0.788 -2.234 -3.834
-7.748 -8.254 3.215
Pa As Au Se
2 2 1 2
Direct
0.667 0.333 0.316
0.333 0.667 0.684
0.000 0.000 0.793
0.000 0.000 0.207
0.000 0.000 0.000
0.667 0.333 0.581
0.333 0.667 0.419
```

Values from the calculation:
Total moment, μB per atom: 0.158
ΔE_f (raw), eV per formula unit: -5.0
Total DFT energy (no corrections), eV per cell: -43.59


3.
This record from the Alexandria database describes a geometry-optimized LaZr2Te structure. The functional is PBE.

Geometry as POSCAR:
```
LaZr2Te
1.0
-0.183 -2.228 -4.357
0.439 -3.390 1.715
-5.458 -2.140 1.324
La Te Zr
1 1 2
Direct
0.000 0.523 0.570
0.500 0.943 0.734
0.000 0.792 0.049
0.500 0.241 0.148
```

Values from the calculation:
Total moment, μB per atom: 0.000
ΔE_f (raw), eV per formula unit: -1.7
Total DFT energy (no corrections), eV per cell: -26.87


| no. | theoretical density (Mg/m³) |
| --- | --- |
| 1 | 6.50 |
| 2 | 7.75 |
| 3 | 6.97 |